# 1
First-principles (GGA-PBE) data for crystalline SiRu2Br at its relaxed geometry, as listed in Alexandria.

## Properties
Fermi-level density of states = 2.8 states/eV/f.u.
energy above the most stable polymorph in this dataset = 1.89 eV per formula unit
space group = I-42d, No. 122
size of the total moment = 0.000 μB per formula unit
formation energy from raw total energies = 538 meV per atom

Cell and atoms, written as CIF:
```
data_SiRu2Br
_chemical_formula_sum 'Si2 Ru4 Br2'
_cell_length_a 6.874
_cell_length_b 6.874
_cell_length_c 6.874
_cell_angle_alpha 134.61
_cell_angle_beta 134.61
_cell_angle_gamma 66.14
_symmetry_space_group_name_H-M 'P 1'
_symmetry_Int_Tables_number 1
loop_
_symmetry_equiv_pos_as_xyz
'x,y,z'
loop_
_atom_site_label
_atom_site_type_symbol
_atom_site_fract_x
_atom_site_fract_y
_atom_site_fract_z
_atom_site_occupancy
Si1 Si 0.000 0.000 0.000 1
Si2 Si 0.750 0.250 0.500 1
Ru1 Ru 0.095 0.625 0.970 1
Ru2 Ru 0.375 0.345 0.470 1
Ru3 Ru 0.655 0.125 0.030 1
Ru4 Ru 0.875 0.905 0.530 1
Br1 Br 0.250 0.750 0.500 1
Br2 Br 0.500 0.500 0.000 1
```


# 2
First-principles (GGA-PBE) data for crystalline Li2Ag4Bi at its relaxed geometry, as listed in Alexandria.

## Properties
Fermi-level density of states = 1.3 states/eV/f.u.
energy above the most stable polymorph in this dataset = 0.00 eV per formula unit
space group = C2/m, No. 12
size of the total moment = 0.000 μB per formula unit

Cell and atoms, written as CIF:
```
data_Li2Ag4Bi
_chemical_formula_sum 'Li2 Ag4 Bi1'
_cell_length_a 5.097
_cell_length_b 5.097
_cell_length_c 6.709
_cell_angle_alpha 97.18
_cell_angle_beta 97.18
_cell_angle_gamma 50.46
_symmetry_space_group_name_H-M 'P 1'
_symmetry_Int_Tables_number 1
loop_
_symmetry_equiv_pos_as_xyz
'x,y,z'
loop_
_atom_site_label
_atom_site_type_symbol
_atom_site_fract_x
_atom_site_fract_y
_atom_site_fract_z
_atom_site_occupancy
Li1 Li 0.079 0.079 0.209 1
Li2 Li 0.921 0.921 0.791 1
Ag1 Ag 0.215 0.215 0.661 1
Ag2 Ag 0.356 0.356 0.063 1
Ag3 Ag 0.644 0.644 0.937 1
Ag4 Ag 0.785 0.785 0.339 1
Bi1 Bi 0.500 0.500 0.500 1
```


# 3
First-principles (GGA-PBE) data for crystalline Nd4S3N2 at its relaxed geometry, as listed in Alexandria.

## Properties
space group = C2/m, No. 12
size of the total moment = 0.000 μB per formula unit
formation energy from raw total energies = -1828 meV per atom

Cell and atoms, written as CIF:
```
data_Nd4S3N2
_chemical_formula_sum 'Nd4 S3 N2'
_cell_length_a 7.035
_cell_length_b 7.035
_cell_length_c 10.325
_cell_angle_alpha 127.08
_cell_angle_beta 127.08
_cell_angle_gamma 33.02
_symmetry_space_group_name_H-M 'P 1'
_symmetry_Int_Tables_number 1
loop_
_symmetry_equiv_pos_as_xyz
'x,y,z'
loop_
_atom_site_label
_atom_site_type_symbol
_atom_site_fract_x
_atom_site_fract_y
_atom_site_fract_z
_atom_site_occupancy
Nd1 Nd 0.063 0.063 0.357 1
Nd2 Nd 0.255 0.255 0.147 1
Nd3 Nd 0.745 0.745 0.853 1
Nd4 Nd 0.937 0.937 0.643 1
S1 S 0.331 0.331 0.719 1
S2 S 0.500 0.500 0.500 1
S3 S 0.669 0.669 0.281 1
N1 N 0.147 0.147 0.860 1
N2 N 0.853 0.853 0.140 1
```


# 4
First-principles (GGA-PBE) data for crystalline MgCo2Cl at its relaxed geometry, as listed in Alexandria.

## Properties
Fermi-level density of states = 2.4 states/eV/f.u.
energy above the most stable polymorph in this dataset = 0.39 eV per formula unit
space group = Cm, No. 8
size of the total moment = 3.033 μB per formula unit
formation energy from raw total energies = 25 meV per atom

Cell and atoms, written as CIF:
```
data_MgCo2Cl
_chemical_formula_sum 'Mg1 Co2 Cl1'
_cell_length_a 3.719
_cell_length_b 3.719
_cell_length_c 6.343
_cell_angle_alpha 93.67
_cell_angle_beta 93.67
_cell_angle_gamma 59.88
_symmetry_space_group_name_H-M 'P 1'
_symmetry_Int_Tables_number 1
loop_
_symmetry_equiv_pos_as_xyz
'x,y,z'
loop_
_atom_site_label
_atom_site_type_symbol
_atom_site_fract_x
_atom_site_fract_y
_atom_site_fract_z
_atom_site_occupancy
Mg1 Mg 0.000 0.000 0.000 1
Co1 Co 0.353 0.353 0.271 1
Co2 Co 0.690 0.690 0.318 1
Cl1 Cl 0.315 0.315 0.765 1
```


# 5
First-principles (GGA-PBE) data for crystalline TmCuHg2 at its relaxed geometry, as listed in Alexandria.

## Properties
Fermi-level density of states = 2.1 states/eV/f.u.
space group = Cmcm, No. 63
size of the total moment = 0.000 μB per formula unit
total DFT energy (no corrections) = -2.54 eV per atom

Cell and atoms, written as CIF:
```
data_TmCuHg2
_chemical_formula_sum 'Tm2 Cu2 Hg4'
_cell_length_a 5.499
_cell_length_b 5.499
_cell_length_c 7.922
_cell_angle_alpha 90.00
_cell_angle_beta 90.00
_cell_angle_gamma 136.06
_symmetry_space_group_name_H-M 'P 1'
_symmetry_Int_Tables_number 1
loop_
_symmetry_equiv_pos_as_xyz
'x,y,z'
loop_
_atom_site_label
_atom_site_type_symbol
_atom_site_fract_x
_atom_site_fract_y
_atom_site_fract_z
_atom_site_occupancy
Tm1 Tm 0.067 0.933 0.750 1
Tm2 Tm 0.933 0.067 0.250 1
Cu1 Cu 0.228 0.772 0.250 1
Cu2 Cu 0.772 0.228 0.750 1
Hg1 Hg 0.361 0.639 0.550 1
Hg2 Hg 0.361 0.639 0.950 1
Hg3 Hg 0.639 0.361 0.050 1
Hg4 Hg 0.639 0.361 0.450 1
```


# 6
First-principles (GGA-PBE) data for crystalline GaCoMo at its relaxed geometry, as listed in Alexandria.

## Properties
Fermi-level density of states = 1.7 states/eV/f.u.
space group = I4mm, No. 107
size of the total moment = 0.308 μB per formula unit
total DFT energy (no corrections) = -7.12 eV per atom

Cell and atoms, written as CIF:
```
data_GaCoMo
_chemical_formula_sum 'Ga1 Co1 Mo1'
_cell_length_a 5.485
_cell_length_b 5.485
_cell_length_c 5.485
_cell_angle_alpha 150.42
_cell_angle_beta 150.42
_cell_angle_gamma 42.32
_symmetry_space_group_name_H-M 'P 1'
_symmetry_Int_Tables_number 1
loop_
_symmetry_equiv_pos_as_xyz
'x,y,z'
loop_
_atom_site_label
_atom_site_type_symbol
_atom_site_fract_x
_atom_site_fract_y
_atom_site_fract_z
_atom_site_occupancy
Ga1 Ga 0.000 0.000 0.000 1
Co1 Co 0.351 0.351 0.000 1
Mo1 Mo 0.689 0.689 0.000 1
```